Record 1
Entry from Alexandria: an optimized crystal structure of K2Rh2S3 (PBE).

Computed properties:
V = 162.17 Å³/cell
Space-group type = No. 12
Formation energy (no corrections) = -0.65 eV per atom

Cell and atoms, written as POSCAR:
```
K2Rh2S3
1.0
6.1820 -2.0586 0.0000
6.1820 2.0586 0.0000
-4.3193 0.0000 6.3714
K Rh S
2 2 3
direct
0.0663 0.0663 0.3362
0.9337 0.9337 0.6638
0.2869 0.2869 0.9223
0.7131 0.7131 0.0777
0.2998 0.2998 0.2396
0.5000 0.5000 0.0000
0.7002 0.7002 0.7604
```

***

Record 2
Entry from Alexandria: an optimized crystal structure of K5RhS5 (PBE).

Computed properties:
V = 332.54 Å³/cell
Space-group type = No. 12
Formation energy (no corrections) = -0.60 eV per atom

Cell and atoms, written as POSCAR:
```
K5RhS5
1.0
7.0054 -3.0121 0.0000
7.0054 3.0121 0.0000
-2.8546 0.0000 7.8798
K Rh S
5 1 5
direct
0.0000 0.0000 0.0000
0.3067 0.3067 0.1934
0.3335 0.3335 0.6588
0.6665 0.6665 0.3412
0.6933 0.6933 0.8066
0.0000 0.0000 0.5000
0.1228 0.1228 0.3716
0.1346 0.1346 0.7763
0.5000 0.5000 0.5000
0.8654 0.8654 0.2237
0.8772 0.8772 0.6284
```

***

Record 3
Entry from Alexandria: an optimized crystal structure of KRhS2 (PBE).

Computed properties:
V = 82.01 Å³/cell
Space-group type = No. 160
Formation energy (no corrections) = -0.75 eV per atom

Cell and atoms, written as POSCAR:
```
KRhS2
1.0
1.8541 1.0704 6.8868
-1.8541 1.0704 6.8868
0.0000 -2.1409 6.8868
K Rh S
1 1 2
direct
0.0000 0.0000 0.0000
0.8301 0.8301 0.8301
0.2193 0.2193 0.2193
0.4420 0.4420 0.4420
```

***

Record 4
Entry from Alexandria: an optimized crystal structure of KRhS2 (PBE).

Computed properties:
V = 193.31 Å³/cell
Space-group type = No. 122
Formation energy (no corrections) = -0.63 eV per atom

Cell and atoms, written as POSCAR:
```
KRhS2
1.0
-3.5990 3.5990 3.7310
3.5990 -3.5990 3.7310
3.5990 3.5990 -3.7310
K Rh S
2 2 4
direct
0.0000 0.0000 0.0000
0.7500 0.2500 0.5000
0.2500 0.7500 0.5000
0.5000 0.5000 0.0000
0.2366 0.1250 0.6116
0.3750 0.7634 0.8884
0.5134 0.6250 0.3884
0.8750 0.4866 0.1116
```

***

Record 5
Entry from Alexandria: an optimized crystal structure of KRhS2 (PBE).

Computed properties:
V = 169.97 Å³/cell
Space-group type = No. 11
Formation energy (no corrections) = -0.50 eV per atom

Cell and atoms, written as POSCAR:
```
KRhS2
1.0
3.7433 0.0000 0.0000
0.0000 6.7890 0.0000
-0.0240 0.0000 6.6883
K Rh S
2 2 4
direct
0.2474 0.2500 0.1077
0.7526 0.7500 0.8923
0.2493 0.7500 0.3922
0.7507 0.2500 0.6078
0.2511 0.0412 0.6656
0.2511 0.4588 0.6656
0.7489 0.5412 0.3344
0.7489 0.9588 0.3344
```

***

Record 6
Entry from Alexandria: an optimized crystal structure of KRh3S (PBE).

Computed properties:
Polymorph energy (0 for the lowest one) = 2212 meV/atom
V = 111.11 Å³/cell
Space-group type = No. 221
Formation energy (no corrections) = 2.37 eV per atom

Cell and atoms, written as POSCAR:
```
KRh3S
1.0
4.8074 0.0000 0.0000
0.0000 4.8074 0.0000
0.0000 0.0000 4.8074
K Rh S
1 3 1
direct
0.0000 0.0000 0.0000
0.0000 0.0000 0.5000
0.0000 0.5000 0.0000
0.5000 0.0000 0.0000
0.5000 0.5000 0.5000
```